Record 1
The following is a DFT calculation (SCAN) of a PBEsol-optimized structure of CsYTc3.

Results
DOS at the Fermi energy, states/eV/atom: 1.11
VASP energy, eV for the cell shown: -159.02
E_form, eV per formula unit: 11.82
Volume, Å³/cell: 128

Geometry as CIF:
```
data_CsYTc3
_cell_length_a 5.040
_cell_length_b 5.040
_cell_length_c 5.040
_cell_angle_alpha 90.00
_cell_angle_beta 90.00
_cell_angle_gamma 90.00
_space_group_name_H-M_alt 'P m -3 m'
_space_group_IT_number 221
_space_group_name_Hall '-P 4 2 3'
loop_
_atom_site_label
_atom_site_fract_x
_atom_site_fract_y
_atom_site_fract_z
Cs1 0.000 0.000 0.000
Y1 0.500 0.500 0.500
Tc1 0.000 0.500 0.500
```


Record 2
The following is a DFT calculation (SCAN) of a PBEsol-optimized structure of Ni2RhW.

Results
DOS at the Fermi energy, states/eV/atom: 0.72
VASP energy, eV for the cell shown: -272.15
E_form, eV per formula unit: -0.27
Relative energy among the computed polymorphs, eV per formula unit: 0.282
Volume, Å³/cell: 99

Geometry as CIF:
```
data_Ni2RhW
_cell_length_a 3.651
_cell_length_b 3.651
_cell_length_c 7.429
_cell_angle_alpha 90.00
_cell_angle_beta 90.00
_cell_angle_gamma 90.00
_space_group_name_H-M_alt 'I 4/m m m'
_space_group_IT_number 139
_space_group_name_Hall '-I 4 2'
loop_
_atom_site_label
_atom_site_fract_x
_atom_site_fract_y
_atom_site_fract_z
Ni1 0.000 0.500 0.250
Rh1 0.000 0.000 0.000
W1 0.000 0.000 0.500
```


Record 3
The following is a DFT calculation (SCAN) of a PBEsol-optimized structure of KTlSb2.

Results
DOS at the Fermi energy, states/eV/atom: 0.46
VASP energy, eV for the cell shown: -155.72
Relative energy among the computed polymorphs, eV per formula unit: 0.312
Volume, Å³/cell: 116

Geometry as CIF:
```
data_KTlSb2
_cell_length_a 3.251
_cell_length_b 3.251
_cell_length_c 10.989
_cell_angle_alpha 90.00
_cell_angle_beta 90.00
_cell_angle_gamma 90.00
_space_group_name_H-M_alt 'P 4/m m m'
_space_group_IT_number 123
_space_group_name_Hall '-P 4 2'
loop_
_atom_site_label
_atom_site_fract_x
_atom_site_fract_y
_atom_site_fract_z
K1 0.000 0.000 0.000
Tl1 0.000 0.000 0.500
Sb1 0.500 0.500 0.252
```


Record 4
The following is a DFT calculation (SCAN) of a PBEsol-optimized structure of CrGeN3.

Results
DOS at the Fermi energy, states/eV/atom: 0.49
VASP energy, eV for the cell shown: -61.22
Volume, Å³/cell: 51

Geometry as CIF:
```
data_CrGeN3
_cell_length_a 3.720
_cell_length_b 3.720
_cell_length_c 3.720
_cell_angle_alpha 90.00
_cell_angle_beta 90.00
_cell_angle_gamma 90.00
_space_group_name_H-M_alt 'P m -3 m'
_space_group_IT_number 221
_space_group_name_Hall '-P 4 2 3'
loop_
_atom_site_label
_atom_site_fract_x
_atom_site_fract_y
_atom_site_fract_z
Cr1 0.000 0.000 0.000
Ge1 0.500 0.500 0.500
N1 0.000 0.000 0.500
```